(1)
A plane-wave DFT calculation with PBE-GGA was carried out for a relaxed structure of MnSiGeRu.

The space group is F-43m (No. 216) and the conventional cell measures 5.8633, 5.8633 and 5.8633 Å, with angles of 90.00, 90.00 and 90.00 degrees. The inequivalent atoms are Mn at (0.0000, 0.0000, 0.0000), Si at (0.2500, 0.2500, 0.2500), Ge at (0.2500, 0.2500, 0.7500) and Ru at (0.0000, 0.0000, 0.5000).

Its energy relative to the elements, uncorrected is -0.21 eV/atom. For the energy, the calculation gives -7.334 eV/atom. As for the density of states at the Fermi level: 4.26 states/eV/f.u.


(2)
A plane-wave DFT calculation with PBE-GGA was carried out for a relaxed structure of TbTm3Hg2.

The space group is P4/mmm (No. 123) and the conventional cell measures 3.6490, 3.6490 and 12.2178 Å, with angles of 90.00, 90.00 and 90.00 degrees. The inequivalent atoms are Tb at (0.0000, 0.0000, 0.0000), Tm at (0.5000, 0.5000, 0.1980), Tm at (0.5000, 0.5000, 0.5000) and Hg at (0.0000, 0.0000, 0.3480).

The formation energy is -305 meV per atom. For the energy, the calculation gives -3.413 eV/atom. As for the density of states at the Fermi level: 6.03 states/eV/f.u. The energy above the most stable polymorph in this dataset comes out at 0.0584 eV/atom.


(3)
A plane-wave DFT calculation with PBE-GGA was carried out for a relaxed structure of ErMnFe4.

The space group is F-43m (No. 216) and the conventional cell measures 6.9271, 6.9271 and 6.9271 Å, with angles of 90.00, 90.00 and 90.00 degrees. The inequivalent atoms are Er at (0.0000, 0.0000, 0.0000), Mn at (0.2500, 0.2500, 0.7500) and Fe at (0.1240, 0.1240, 0.3760).

The formation energy is 22 meV per atom. For the energy, the calculation gives -7.909 eV/atom. As for the density of states at the Fermi level: 5.99 states/eV/f.u.


(4)
A plane-wave DFT calculation with PBE-GGA was carried out for a relaxed structure of Be6AgAu6.

The space group is Immm (No. 71) and the conventional cell measures 4.9121, 8.4026 and 8.5577 Å, with angles of 90.00, 90.00 and 90.00 degrees. The inequivalent atoms are Be at (0.0000, 0.2396, 0.0000), Be at (0.2500, 0.2500, 0.2500), Ag at (0.0000, 0.5000, 0.5000), Au at (0.0000, 0.0000, 0.1712), Au at (0.0000, 0.1714, 0.5000) and Au at (0.0000, 0.5000, 0.1617).

The formation energy is -92 meV per atom. For the energy, the calculation gives -3.544 eV/atom. As for the density of states at the Fermi level: 3.34 states/eV/f.u.


(5)
A plane-wave DFT calculation with PBE-GGA was carried out for a relaxed structure of CePr6Sm2.

The space group is C2/m (No. 12) and the conventional cell measures 10.5219, 7.1423 and 8.9576 Å, with angles of 90.00, 108.18 and 90.00 degrees. The inequivalent atoms are Ce at (0.0000, 0.0000, 0.0000), Pr at (0.0595, 0.2615, 0.7031), Pr at (0.1645, 0.5000, 0.0886) and Sm at (0.2237, 0.0000, 0.4610).

The formation energy is 147 meV per atom. For the energy, the calculation gives -4.747 eV/atom. As for the density of states at the Fermi level: 17.33 states/eV/f.u.


(6)
A plane-wave DFT calculation with PBE-GGA was carried out for a relaxed structure of CaInAg2.

The space group is I-42d (No. 122) and the conventional cell measures 4.7061, 4.7061 and 19.4777 Å, with angles of 90.00, 90.00 and 90.00 degrees. The inequivalent atoms are Ca at (0.0000, 0.0000, 0.0000), In at (0.0000, 0.0000, 0.5000) and Ag at (0.1696, 0.2500, 0.6250).

The formation energy is 0 meV per atom. For the energy, the calculation gives -2.611 eV/atom. As for the density of states at the Fermi level: 1.74 states/eV/f.u.


(7)
A plane-wave DFT calculation with PBE-GGA was carried out for a relaxed structure of K2NdThSe4.

The space group is P2/m (No. 10) and the conventional cell measures 7.4345, 4.2978 and 8.1533 Å, with angles of 90.00, 107.64 and 90.00 degrees. The inequivalent atoms are K at (0.0000, 0.0000, 0.0000), K at (0.5000, 0.5000, 0.0000), Nd at (0.0000, 0.5000, 0.5000), Th at (0.5000, 0.0000, 0.5000), Se at (0.2436, 0.0000, 0.7148) and Se at (0.2661, 0.5000, 0.2854).

Its energy relative to the elements, uncorrected is -1.65 eV/atom. For the energy, the calculation gives -5.188 eV/atom. As for the density of states at the Fermi level: 4.31 states/eV/f.u.


(8)
A plane-wave DFT calculation with PBE-GGA was carried out for a relaxed structure of HfTlZn2.

The space group is Fm-3m (No. 225) and the conventional cell measures 6.7935, 6.7935 and 6.7935 Å, with angles of 90.00, 90.00 and 90.00 degrees. The inequivalent atoms are Hf at (0.0000, 0.0000, 0.0000), Tl at (0.0000, 0.0000, 0.5000) and Zn at (0.2500, 0.2500, 0.2500).

The formation energy is 268 meV per atom. For the energy, the calculation gives -3.449 eV/atom. As for the density of states at the Fermi level: 5.79 states/eV/f.u. The energy above the most stable polymorph in this dataset comes out at 0.2971 eV/atom.


(9)
A plane-wave DFT calculation with PBE-GGA was carried out for a relaxed structure of AcTb2Rh.

The space group is P4/mmm (No. 123) and the conventional cell measures 3.5833, 3.5833 and 9.0719 Å, with angles of 90.00, 90.00 and 90.00 degrees. The inequivalent atoms are Ac at (0.0000, 0.0000, 0.0000), Tb at (0.5000, 0.5000, 0.3229) and Rh at (0.0000, 0.0000, 0.5000).

The formation energy is -369 meV per atom. For the energy, the calculation gives -5.549 eV/atom. As for the density of states at the Fermi level: 4.85 states/eV/f.u. The energy above the most stable polymorph in this dataset comes out at 0.0967 eV/atom.


(10)
A plane-wave DFT calculation with PBE-GGA was carried out for a relaxed structure of CdCuAu6.

The space group is P4/mmm (No. 123) and the conventional cell measures 4.1561, 4.1561 and 8.2165 Å, with angles of 90.00, 90.00 and 90.00 degrees. The inequivalent atoms are Cd at (0.0000, 0.0000, 0.0000), Cu at (0.0000, 0.0000, 0.5000), Au at (0.0000, 0.5000, 0.2612), Au at (0.5000, 0.5000, 0.0000) and Au at (0.5000, 0.5000, 0.5000).

The formation energy is -69 meV per atom. For the energy, the calculation gives -3.153 eV/atom. As for the density of states at the Fermi level: 1.76 states/eV/f.u.


(11)
A plane-wave DFT calculation with PBE-GGA was carried out for a relaxed structure of LiHoPd.

The space group is I4mm (No. 107) and the conventional cell measures 3.5478, 3.5478 and 9.3385 Å, with angles of 90.00, 90.00 and 90.00 degrees. The inequivalent atoms are Li at (0.0000, 0.0000, 0.0000), Ho at (0.0000, 0.0000, 0.3004) and Pd at (0.0000, 0.0000, 0.6401).

The formation energy is -491 meV per atom. For the energy, the calculation gives -4.386 eV/atom. As for the density of states at the Fermi level: 2.03 states/eV/f.u. The energy above the most stable polymorph in this dataset comes out at 0.1132 eV/atom.


(12)
A plane-wave DFT calculation with PBE-GGA was carried out for a relaxed structure of Tl2CoW.

The space group is P4/mmm (No. 123) and the conventional cell measures 4.8762, 4.8762 and 3.0892 Å, with angles of 90.00, 90.00 and 90.00 degrees. The inequivalent atoms are Tl at (0.0000, 0.5000, 0.0000), Co at (0.0000, 0.0000, 0.5000) and W at (0.5000, 0.5000, 0.5000).

The formation energy is 1036 meV per atom. For the energy, the calculation gives -5.162 eV/atom. As for the density of states at the Fermi level: 5.95 states/eV/f.u. The energy above the most stable polymorph in this dataset comes out at 0.5127 eV/atom.